(1)
Density functional theory data (PBE) for a relaxed FeNiHgGe crystal.

Properties
The calculation puts the excess energy over the best structure of this formula in the dataset at 137.9 meV per atom.

Unit cell a=4.433 b=4.433 c=4.433 alpha=60.00 beta=60.00 gamma=60.00
Atoms (fractional coordinates):
Ge: 0.000 0.000 0.000
Fe: 0.750 0.750 0.750
Hg: 0.250 0.250 0.250
Ni: 0.500 0.500 0.500

---

(2)
Density functional theory data (PBE) for a relaxed ZnInGe crystal.

Unit cell a=4.612 b=4.612 c=4.612 alpha=60.00 beta=60.00 gamma=60.00
Atoms (fractional coordinates):
Ge: 0.250 0.250 0.250
In: 0.000 0.000 0.000
Zn: 0.750 0.750 0.750

---

(3)
Density functional theory data (PBE) for a relaxed YTmB4 crystal.

Properties
The calculation puts the excess energy over the best structure of this formula in the dataset at 2.7 meV per atom.

Unit cell a=5.027 b=5.027 c=5.027 alpha=141.94 beta=111.26 gamma=81.37
Atoms (fractional coordinates):
B: 0.083 0.749 0.333
B: 0.416 0.749 0.667
B: 0.917 0.251 0.667
B: 0.584 0.251 0.333
Tm: 0.000 0.000 0.000
Y: 0.500 0.500 0.000

---

no.,E_tot (Ry/atom)
1,-0.3160
2,-0.1919
3,-0.5056